Compound: CoNi2RuO6
Source: Alexandria via LeMat-Bulk
Functional: PBE+U
Structure: relaxed

The space group is P4mm (No. 99) and the conventional cell measures 5.405, 5.405 and 4.714 Å, with angles of 90.00, 90.00 and 90.00 degrees. Symmetry generates all atoms from Co at (0.000, 0.000, 0.000), Ni at (0.000, 0.500, 0.289), Ru at (0.500, 0.500, 0.021), O at (0.000, 0.000, 0.642), O at (0.256, 0.256, 0.161) and O at (0.500, 0.500, 0.656).

The value obtained for the total energy is -55.3 eV for the cell shown. The density of states at the Fermi level is 5.91 states/eV/f.u.